Record 1
## La2AlW (PBE)

Data for a relaxed La2AlW crystal.

## Properties
Its calculated formation energy is 1.6 eV per formula unit. As for the total magnetization: 0.0 μB per cell. For the total energy, the calculation gives -6.2478 eV/atom.

Cell: 3.148 3.148 10.502 Å, 90.00 90.00 109.11°
Element x y z (fractional)
Al (0.500, 0.500, 0.708)
La (0.500, 0.500, 0.305)
La (0.000, 0.000, 0.954)
W (0.000, 0.000, 0.532)

Record 2
## ScReAg (PBE)

Data for a relaxed ScReAg crystal.

## Properties
Its calculated formation energy is 0.9 eV per formula unit. The energy above the most stable polymorph in this dataset comes out at 71 meV/atom. As for the total magnetization: 0.0 μB per cell. For the total energy, the calculation gives -6.9034 eV/atom.

Cell: 5.169 5.169 5.169 Å, 149.34 131.09 58.84°
Element x y z (fractional)
Ag (0.998, 0.998, 0.000)
Sc (0.674, 0.674, 0.000)
Re (0.328, 0.328, 0.000)

Record 3
## MnReSe2 (PBE)

Data for a relaxed MnReSe2 crystal.

## Properties
The energy above the most stable polymorph in this dataset comes out at 424 meV/atom. The uncorrected formation energy is 27.79 kJ/mol of atoms. As for the total magnetization: 4.3 μB per cell. For the total energy, the calculation gives -6.8587 eV/atom.

Cell: 4.172 4.172 5.637 Å, 80.11 80.11 45.83°
Last column: magnetic moment on the atom in μB.
Element x y z (fractional)
Mn (0.750, 0.750, 0.750)  3.88
Re (0.250, 0.250, 0.250)  0.15
Se (0.984, 0.984, 0.021)  0.00
Se (0.516, 0.516, 0.479)  0.00